Entry 1:
Material: Li2PuSe2
Method: DFT, PBE
State: relaxed

Cell: 6.7690 6.7690 6.3953 Å, 115.02 115.02 101.61°
Site moments in Bohr magnetons follow the coordinates.
Fractional positions:
Li (0.7565, 0.5065, 0.5134)  0.01
Li (0.5065, 0.7565, 0.0134)  0.01
Li (0.2435, 0.4935, 0.4866)  0.01
Li (0.4935, 0.2435, 0.9866)  0.01
Pu (0.1250, 0.8750, 0.2500)  5.65
Pu (0.8750, 0.1250, 0.7500)  5.65
Se (0.5969, 0.4031, 0.7500)  -0.06
Se (0.8469, 0.1531, 0.2500)  -0.06
Se (0.4031, 0.5969, 0.2500)  -0.06
Se (0.1531, 0.8469, 0.7500)  -0.06

space group = Fddd, No. 70
Fermi-level density of states = 26.5 states/eV per cell
formation energy without anion corrections = -1.15 eV/atom

Entry 2:
Material: TbEr6Te8
Method: DFT, PBE
State: relaxed

Cell: 8.6089 8.6089 8.6089 Å, 60.00 60.00 60.00°
Fractional positions:
Te (0.7421, 0.2579, 0.7421)
Te (0.7500, 0.7500, 0.7500)
Te (0.7421, 0.7421, 0.2579)
Te (0.2579, 0.7421, 0.2579)
Te (0.7421, 0.2579, 0.2579)
Te (0.2500, 0.2500, 0.2500)
Te (0.2579, 0.7421, 0.7421)
Te (0.2579, 0.2579, 0.7421)
Er (0.5000, 0.0000, 0.0000)
Er (0.0000, 0.5000, 0.5000)
Er (0.0000, 0.5000, 0.0000)
Er (0.0000, 0.0000, 0.5000)
Er (0.5000, 0.0000, 0.5000)
Er (0.5000, 0.5000, 0.0000)
Tb (0.0000, 0.0000, 0.0000)

space group = Fm-3m, No. 225
Fermi-level density of states = 6.6 states/eV per cell
formation energy without anion corrections = -1.32 eV/atom

Entry 3:
Material: ZnMoCl2
Method: DFT, PBE
State: relaxed

Cell: 6.7931 6.7931 6.7931 Å, 154.22 140.39 47.87°
Site moments in Bohr magnetons follow the coordinates.
Fractional positions:
Cl (0.6674, 0.1674, 0.5000)  0.00
Cl (0.9914, 0.9914, 0.0000)  0.00
Mo (0.5096, 0.5096, 0.0000)  1.36
Zn (0.3317, 0.8317, 0.5000)  -0.02

space group = Imm2, No. 44
Fermi-level density of states = 1.9 states/eV per cell
formation energy without anion corrections = 0.09 eV/atom
excess energy over the best structure of this formula in the dataset = 409.2 meV per atom

Entry 4:
Material: Sc2ZnIr
Method: DFT, PBE
State: relaxed

Cell: 5.6726 5.6726 5.6726 Å, 146.74 132.49 59.22°
Fractional positions:
Sc (0.0314, 0.0314, 0.0000)
Sc (0.7462, 0.2462, 0.5000)
Zn (0.4689, 0.4689, 0.0000)
Ir (0.2535, 0.7535, 0.5000)

ΔE_f = -2.2 eV/f.u.
space group = Imm2, No. 44
Fermi-level density of states = 3.6 states/eV per cell
excess energy over the best structure of this formula in the dataset = 183.7 meV per atom

Entry 5:
Material: NaLi2Cu
Method: DFT, PBE
State: relaxed

Cell: 2.9389 2.9389 10.2702 Å, 81.77 81.77 60.00°
Fractional positions:
Cu (0.5000, 0.5000, 0.5000)
Li (0.8996, 0.8996, 0.3011)
Li (0.1004, 0.1004, 0.6989)
Na (0.0000, 0.0000, 0.0000)

ΔE_f = 0.6 eV/f.u.
space group = R-3m, No. 166
Fermi-level density of states = 0.8 states/eV per cell
excess energy over the best structure of this formula in the dataset = 92.0 meV per atom

Entry 6:
Material: YSe2BrN
Method: DFT, PBE
State: relaxed

Cell: 5.6261 5.6261 4.3465 Å, 90.00 90.00 90.00°
Site moments in Bohr magnetons follow the coordinates.
Fractional positions:
N (0.0000, 0.0000, 0.5000)  -0.08
Se (0.0000, 0.5000, 0.0000)  0.32
Se (0.5000, 0.0000, 0.0000)  0.32
Br (0.5000, 0.5000, 0.5000)  0.19
Y (0.0000, 0.0000, 0.0000)  -0.04

space group = P4/mmm, No. 123
Fermi-level density of states = 9.5 states/eV per cell
formation energy without anion corrections = 0.40 eV/atom
excess energy over the best structure of this formula in the dataset = 442.1 meV per atom

Entry 7:
Material: La3MnS
Method: DFT, PBE
State: relaxed

Cell: 5.1562 5.1562 5.1562 Å, 90.00 90.00 90.00°
Fractional positions:
La (0.0000, 0.5000, 0.0000)
La (0.0000, 0.0000, 0.5000)
La (0.5000, 0.0000, 0.0000)
Mn (0.0000, 0.0000, 0.0000)
S (0.5000, 0.5000, 0.5000)

space group = Pm-3m, No. 221
Fermi-level density of states = 7.3 states/eV per cell
formation energy without anion corrections = -0.25 eV/atom

Entry 8:
Material: MgHgGeRh2
Method: DFT, PBE
State: relaxed

Cell: 5.0009 4.8380 5.0009 Å, 90.00 90.00 90.00°
Fractional positions:
Hg (0.0000, 0.0000, 0.0000)
Rh (0.5000, 0.0000, 0.0000)
Rh (0.0000, 0.0000, 0.5000)
Ge (0.5000, 0.5000, 0.5000)
Mg (0.0000, 0.5000, 0.0000)

ΔE_f = 5.4 eV/f.u.
space group = P4/mmm, No. 123
Fermi-level density of states = 5.7 states/eV per cell

Entry 9:
Material: Tb3NdIn
Method: DFT, PBE
State: relaxed

Cell: 5.2530 6.9876 8.7930 Å, 89.10 107.38 90.00°
Fractional positions:
Tb (0.6107, 0.0004, 0.2214)
Tb (0.7949, 0.2516, 0.5898)
Tb (0.9961, 0.7541, 0.9923)
Tb (0.2051, 0.7484, 0.4102)
Tb (0.0039, 0.2459, 0.0077)
Tb (0.3893, 0.9996, 0.7786)
In (0.1971, 0.2417, 0.3943)
In (0.8029, 0.7583, 0.6057)
Nd (0.3912, 0.4915, 0.7823)
Nd (0.6088, 0.5085, 0.2177)

ΔE_f = -0.9 eV/f.u.
space group = C2/m, No. 12
Fermi-level density of states = 13.4 states/eV per cell
excess energy over the best structure of this formula in the dataset = 0.0 meV per atom

Entry 10:
Material: CoB3Au
Method: DFT, PBE
State: relaxed

Cell: 4.1328 4.1328 4.1328 Å, 90.00 90.00 90.00°
Site moments in Bohr magnetons follow the coordinates.
Fractional positions:
B (0.0000, 0.0000, 0.5000)  -0.07
B (0.5000, 0.0000, 0.0000)  -0.04
B (0.0000, 0.5000, 0.0000)  -0.07
Co (0.5000, 0.5000, 0.5000)  1.60
Au (0.0000, 0.0000, 0.0000)  -0.03

ΔE_f = 10.5 eV/f.u.
space group = Pm-3m, No. 221
Fermi-level density of states = 8.0 states/eV per cell
excess energy over the best structure of this formula in the dataset = 1129.1 meV per atom

Entry 11:
Material: HgOs2Cl
Method: DFT, PBE
State: relaxed

Cell: 2.8982 2.8982 10.3845 Å, 90.00 90.00 121.73°
Site moments in Bohr magnetons follow the coordinates.
Fractional positions:
Os (0.5000, 0.5000, 0.2448)  0.34
Os (0.0000, 0.0000, 0.0382)  0.49
Hg (0.5000, 0.5000, 0.7758)  0.01
Cl (0.0000, 0.0000, 0.4413)  0.04

space group = Cmm2, No. 35
Fermi-level density of states = 4.1 states/eV per cell
formation energy without anion corrections = 0.71 eV/atom
excess energy over the best structure of this formula in the dataset = 361.6 meV per atom

Entry 12:
Material: CrRh2Br
Method: DFT, PBE
State: relaxed

Cell: 8.6191 8.6191 8.6191 Å, 19.23 19.23 19.23°
Site moments in Bohr magnetons follow the coordinates.
Fractional positions:
Rh (0.0065, 0.0065, 0.0065)  0.27
Rh (0.2524, 0.2524, 0.2524)  0.71
Cr (0.7510, 0.7510, 0.7510)  -0.63
Br (0.4901, 0.4901, 0.4901)  0.03

space group = R3m, No. 160
Fermi-level density of states = 5.6 states/eV per cell
formation energy without anion corrections = 0.46 eV/atom
excess energy over the best structure of this formula in the dataset = 184.9 meV per atom

- Look up the Fermi-level density of states of the first one.
  26.5 states/eV per cell